Version w
Below is a relaxed CoOsO2 crystal, with properties calculated at the PBE+U level. Values from VASP.

Output
The density of states at the Fermi level is 0.885 states/eV/atom.

The structure in Quantum ESPRESSO input format:
```
&SYSTEM
  ibrav = 0, nat = 4, ntyp = 3
/
ATOMIC_SPECIES
Co 58.93 Co.upf
Os 190.23 Os.upf
O 16.00 O.upf
CELL_PARAMETERS angstrom
0.000 2.730 2.730
2.730 0.000 2.730
2.730 2.730 0.000
ATOMIC_POSITIONS crystal
Co 0.000 0.000 0.000
Os 0.500 0.500 0.500
O 0.250 0.250 0.250
O 0.750 0.750 0.750
```

***

Version x
Below is a relaxed CoOsO2 crystal, with properties calculated at the PBE+U level. Values from VASP.

Output
The density of states at the Fermi level is 0.676 states/eV/atom.

The structure in Quantum ESPRESSO input format:
```
&SYSTEM
  ibrav = 0, nat = 4, ntyp = 3
/
ATOMIC_SPECIES
Co 58.93 Co.upf
Os 190.23 Os.upf
O 16.00 O.upf
CELL_PARAMETERS angstrom
1.374 0.793 6.079
-1.374 0.793 6.079
0.000 -1.587 6.079
ATOMIC_POSITIONS crystal
Co 0.000 0.000 0.000
Os 0.500 0.500 0.500
O 0.391 0.391 0.391
O 0.609 0.609 0.609
```

***

Version y
Below is a relaxed CoOsO2 crystal, with properties calculated at the PBE+U level. Values from VASP.

Output
The density of states at the Fermi level is 0.485 states/eV/atom.

The structure in Quantum ESPRESSO input format:
```
&SYSTEM
  ibrav = 0, nat = 8, ntyp = 3
/
ATOMIC_SPECIES
Co 58.93 Co.upf
Os 190.23 Os.upf
O 16.00 O.upf
CELL_PARAMETERS angstrom
-2.360 2.360 4.395
2.360 -2.360 4.395
2.360 2.360 -4.395
ATOMIC_POSITIONS crystal
Co 0.000 0.000 0.000
Co 0.750 0.250 0.500
Os 0.250 0.750 0.500
Os 0.500 0.500 0.000
O 0.111 0.625 0.986
O 0.375 0.361 0.486
O 0.639 0.125 0.014
O 0.875 0.889 0.514
```

***

Which structure above is the least stable one? version w is the least stable one.